1.
Compound: HfNbBi3
Source: Alexandria
Functional: meta-GGA SCAN
Structure: PBEsol geometry

Values from the calculation:
- calculated formation energy (eV per formula unit) = 5.11
- spin magnetization (μB/atom) = 0.261
- SG = Pm-3m

a b c (Å): 5.3807 5.3807 5.3807
angles (deg): 90.00 90.00 90.00
Each line ends with the local moment (μB).
Positions (direct):
Nb: 0.0000 0.0000 0.0000  0.18
Hf: 0.5000 0.5000 0.5000  0.74
Bi: 0.0000 0.5000 0.0000  -0.01
Bi: 0.0000 0.0000 0.5000  -0.01
Bi: 0.5000 0.0000 0.0000  -0.01

***

2.
Compound: HfNbBi2Te
Source: Alexandria
Functional: meta-GGA SCAN
Structure: PBEsol geometry

Values from the calculation:
- spin magnetization (μB/atom) = 0.765
- formation energy without anion corrections (meV/atom) = 1456.6
- SG = P4/mmm

a b c (Å): 5.1549 5.7239 5.7239
angles (deg): 90.00 90.00 90.00
Each line ends with the local moment (μB).
Positions (direct):
Nb: 0.5000 0.5000 0.5000  2.60
Te: 0.0000 0.0000 0.0000  0.01
Hf: 0.5000 0.0000 0.0000  0.11
Bi: 0.0000 0.0000 0.5000  -0.05
Bi: 0.0000 0.5000 0.0000  -0.05

***

3.
Compound: Hf2Ni2Bi
Source: Alexandria
Functional: meta-GGA SCAN
Structure: PBEsol geometry

Values from the calculation:
- calculated formation energy (eV per formula unit) = -2.12
- spin magnetization (μB/atom) = 0.000
- SG = P4/mbm

a b c (Å): 3.5931 6.9005 6.9005
angles (deg): 90.00 90.00 90.00
Positions (direct):
Ni: 0.0000 0.3763 0.8763
Ni: 0.0000 0.8763 0.6237
Ni: 0.0000 0.6237 0.1237
Ni: 0.0000 0.1237 0.3763
Hf: 0.5000 0.1615 0.6615
Hf: 0.5000 0.6615 0.8385
Hf: 0.5000 0.8385 0.3385
Hf: 0.5000 0.3385 0.1615
Bi: 0.0000 0.0000 0.0000
Bi: 0.0000 0.5000 0.5000

***

4.
Compound: HfNiBi2
Source: Alexandria
Functional: meta-GGA SCAN
Structure: PBEsol geometry

Values from the calculation:
- calculated formation energy (eV per formula unit) = 1.45
- spin magnetization (μB/atom) = 0.000
- SG = Fm-3m

a b c (Å): 4.9496 4.9496 4.9496
angles (deg): 60.00 60.00 60.00
Positions (direct):
Ni: 0.0000 0.0000 0.0000
Hf: 0.5000 0.5000 0.5000
Bi: 0.2500 0.2500 0.2500
Bi: 0.7500 0.7500 0.7500